No. 1
# Co2AgIr (PBE-GGA, optimized geometry)
data_Co2AgIr
_chemical_formula_sum 'Co4 Ag2 Ir2'
_symmetry_space_group_name_H-M 'I m m m'
_symmetry_Int_Tables_number 71
_symmetry_space_group_name_Hall '-I 2 2'
_cell_length_a 2.762
_cell_length_b 4.604
_cell_length_c 8.873
_cell_angle_alpha 90.00
_cell_angle_beta 90.00
_cell_angle_gamma 90.00
loop_
_atom_site_label
_atom_site_type_symbol
_atom_site_fract_x
_atom_site_fract_y
_atom_site_fract_z
_atom_site_occupancy
Co1 Co 0.000 0.000 0.237 1
Ag1 Ag 0.000 0.500 0.000 1
Ir1 Ir 0.000 0.500 0.500 1
# Total DFT energy (no corrections) in Ry/atom: -0.4419


No. 2
# Er6Bi2H (PBE-GGA, optimized geometry)
data_Er6Bi2H
_chemical_formula_sum 'Er12 Bi4 H2'
_symmetry_space_group_name_H-M 'P 1 21/c 1'
_symmetry_Int_Tables_number 14
_cell_length_a 6.594
_cell_length_b 7.328
_cell_length_c 11.927
_cell_angle_alpha 90.00
_cell_angle_beta 123.29
_cell_angle_gamma 90.00
loop_
_symmetry_equiv_pos_as_xyz
'x,y,z'
'-x,-y,-z'
'-x,y+1/2,-z+1/2'
'x,-y+1/2,z+1/2'
loop_
_atom_site_label
_atom_site_type_symbol
_atom_site_fract_x
_atom_site_fract_y
_atom_site_fract_z
_atom_site_occupancy
Er1 Er 0.072 0.210 0.464 1
Er2 Er 0.352 0.704 0.463 1
Er3 Er 0.406 0.017 0.253 1
Bi1 Bi 0.138 0.115 0.749 1
H1 H 0.500 0.000 0.500 1
# Total DFT energy (no corrections) in Ry/atom: -0.3437


No. 3
# CsKTeIr2 (PBE-GGA, optimized geometry)
data_CsKTeIr2
_chemical_formula_sum 'Cs1 K1 Te1 Ir2'
_symmetry_space_group_name_H-M 'P 4/m m m'
_symmetry_Int_Tables_number 123
_symmetry_space_group_name_Hall '-P 4 2'
_cell_length_a 5.048
_cell_length_b 5.048
_cell_length_c 6.537
_cell_angle_alpha 90.00
_cell_angle_beta 90.00
_cell_angle_gamma 90.00
loop_
_atom_site_label
_atom_site_type_symbol
_atom_site_fract_x
_atom_site_fract_y
_atom_site_fract_z
_atom_site_occupancy
Cs1 Cs 0.000 0.000 0.000 1
K1 K 0.500 0.500 0.000 1
Te1 Te 0.000 0.000 0.500 1
Ir1 Ir 0.000 0.500 0.500 1
# Formation energy (no corrections) in meV/atom: 812.8


No. 4
# KPa2Pd2S6 (PBE-GGA, optimized geometry)
data_KPa2Pd2S6
_chemical_formula_sum 'K1 Pa2 Pd2 S6'
_symmetry_space_group_name_H-M 'P -1'
_symmetry_Int_Tables_number 2
_cell_length_a 6.872
_cell_length_b 7.103
_cell_length_c 7.347
_cell_angle_alpha 61.53
_cell_angle_beta 67.97
_cell_angle_gamma 62.73
loop_
_symmetry_equiv_pos_as_xyz
'x,y,z'
'-x,-y,-z'
loop_
_atom_site_label
_atom_site_type_symbol
_atom_site_fract_x
_atom_site_fract_y
_atom_site_fract_z
_atom_site_occupancy
K1 K 0.000 0.000 0.000 1
Pa1 Pa 0.006 0.332 0.327 1
Pd1 Pd 0.450 0.735 0.331 1
S1 S 0.230 0.546 0.343 1
S2 S 0.238 0.919 0.577 1
S3 S 0.245 0.307 0.952 1
# Formation energy (no corrections) in meV/atom: -1173.6


No. 5
# RbAgBrF2 (PBE-GGA, optimized geometry)
data_RbAgBrF2
_chemical_formula_sum 'Rb1 Ag1 Br1 F2'
_symmetry_space_group_name_H-M 'P 4/m m m'
_symmetry_Int_Tables_number 123
_symmetry_space_group_name_Hall '-P 4 2'
_cell_length_a 4.726
_cell_length_b 4.726
_cell_length_c 6.369
_cell_angle_alpha 90.00
_cell_angle_beta 90.00
_cell_angle_gamma 90.00
loop_
_atom_site_label
_atom_site_type_symbol
_atom_site_fract_x
_atom_site_fract_y
_atom_site_fract_z
_atom_site_occupancy
Rb1 Rb 0.000 0.000 0.000 1
Ag1 Ag 0.500 0.500 0.000 1
Br1 Br 0.000 0.000 0.500 1
F1 F 0.000 0.500 0.500 1
# Formation energy (no corrections) in meV/atom: -374.0


No. 6
# Ce4Sm3DyTe8 (PBE-GGA, optimized geometry)
data_Ce4Sm3DyTe8
_chemical_formula_sum 'Ce12 Sm9 Dy3 Te24'
_symmetry_space_group_name_H-M 'R -3 m'
_symmetry_Int_Tables_number 166
_symmetry_space_group_name_Hall '-R 3 2"'
_cell_length_a 8.8682
_cell_length_b 8.8682
_cell_length_c 22.0566
_cell_angle_alpha 90.00
_cell_angle_beta 90.00
_cell_angle_gamma 120.00
loop_
_atom_site_label
_atom_site_type_symbol
_atom_site_fract_x
_atom_site_fract_y
_atom_site_fract_z
_atom_site_occupancy
Ce1 Ce 0.0000 0.0000 0.0000 1
Ce2 Ce 0.0000 0.5000 0.0000 1
Sm1 Sm 0.0000 0.5000 0.5000 1
Dy1 Dy 0.0000 0.0000 0.5000 1
Te1 Te 0.0000 0.0000 0.2487 1
Te2 Te 0.0036 0.5018 0.2478 1
# Formation energy (no corrections) in meV/atom: -1370.9


No. 7
# YThHgSb (PBE-GGA, optimized geometry)
data_YThHgSb
_chemical_formula_sum 'Y4 Th4 Hg4 Sb4'
_symmetry_space_group_name_H-M 'F -4 3 m'
_symmetry_Int_Tables_number 216
_symmetry_space_group_name_Hall 'F -4 2 3'
_cell_length_a 7.613
_cell_length_b 7.613
_cell_length_c 7.613
_cell_angle_alpha 90.00
_cell_angle_beta 90.00
_cell_angle_gamma 90.00
loop_
_atom_site_label
_atom_site_type_symbol
_atom_site_fract_x
_atom_site_fract_y
_atom_site_fract_z
_atom_site_occupancy
Y1 Y 0.000 0.000 0.000 1
Th1 Th 0.000 0.000 0.500 1
Hg1 Hg 0.250 0.250 0.750 1
Sb1 Sb 0.250 0.250 0.250 1
# Formation energy (no corrections) in meV/atom: -518.0


Calculated total moment, 3.9, 0.0, 1.0, 0.0, 0.4, 4.9, 0.0 μB per formula unit (same order as the records).